Record 1
The following is a DFT calculation (PBE) of crystalline LaFe2AsPd at its relaxed geometry.

The structure belongs to space group P4/mmm (No. 123); the cell edges are 4.443, 4.443 and 4.774 Å and the angles 90.00°, 90.00° and 90.00°. Symmetry generates all atoms from La at (0.000, 0.000, 0.000), Fe at (0.000, 0.500, 0.500), As at (0.500, 0.500, 0.500) and Pd at (0.500, 0.500, 0.000).

As for the formation energy: 0.113 eV per atom. For the volume, the calculation gives 18.85 Å³ per atom.



Record 2
The following is a DFT calculation (PBE) of crystalline BPd2Au2 at its relaxed geometry.

The structure belongs to space group P4/mbm (No. 127); the cell edges are 5.632, 5.632 and 4.914 Å and the angles 90.00°, 90.00° and 90.00°. Symmetry generates all atoms from B at (0.000, 0.000, 0.000), Pd at (0.168, 0.332, 0.000) and Au at (0.173, 0.673, 0.500).

As for the formation energy: 0.032 eV per atom. For the volume, the calculation gives 15.58 Å³ per atom. The value obtained for the energy relative to the lowest polymorph listed for this composition is 0.0000 eV per atom.



Record 3
The following is a DFT calculation (PBE) of crystalline AlInCl at its relaxed geometry.

The structure belongs to space group Fmm2 (No. 42); the cell edges are 3.239, 6.108 and 15.718 Å and the angles 90.00°, 90.00° and 90.00°. Symmetry generates all atoms from Al at (0.000, 0.000, 0.000), In at (0.000, 0.000, 0.658) and Cl at (0.000, 0.000, 0.387).

For the volume, the calculation gives 25.91 Å³ per atom. The value obtained for the formation energy from raw total energies is -0.27 eV per atom. The value obtained for the energy relative to the lowest polymorph listed for this composition is 0.0570 eV per atom.



Calculated M_tot (μB per formula unit), listed in the same order as above: 0.06; 0.00; 0.00
Calculated DOS at the Fermi energy (states/eV/f.u.), listed in the same order as above: 8.49; 1.12; 1.27